1.
A relaxed KNiAs crystal, computed with GGA-PBE.

a b c (Å): 6.3320 6.3324 3.3298
angles (deg): 74.75 74.75 30.49
With the nearest neighbours (Å) after each atom.
Element x y z (fractional)
As 0.0545 0.0545 0.9455  4 Ni 2.44
K 0.3358 0.3359 0.6642  5 Ni 3.22-3.55, 5 As 3.31-3.49, 4 K 3.33
Ni 0.6097 0.6096 0.3903  4 As 2.44

Total magnetization, Bohr magnetons per cell: 0.0
Space group: I4mm, No. 107
Uncorrected energy, eV/cell: -11.92
Theoretical density, Mg/m³: 4.40

***

2.
A relaxed K4NiAs crystal, computed with GGA-PBE.

a b c (Å): 6.6056 6.6056 6.6056
angles (deg): 60.00 60.00 60.00
With the nearest neighbours (Å) after each atom.
Element x y z (fractional)
K 0.8770 0.3743 0.3743  6 K 3.29-3.32
K 0.3743 0.3743 0.8770  6 K 3.29-3.32
K 0.3743 0.8770 0.3743  6 K 3.29-3.32
K 0.3743 0.3743 0.3743  6 K 3.29-3.32
Ni 0.7500 0.7500 0.7500  12 K 3.87, 4 As 4.05
As 0.0000 0.0000 0.0000  12 K 3.87, 4 Ni 4.05

Total magnetization, Bohr magnetons per cell: 0.8
Space group: F-43m, No. 216
Uncorrected energy, eV/cell: -10.59
Theoretical density, Mg/m³: 2.36

***

3.
A relaxed K2NiAs2 crystal, computed with GGA-PBE.

a b c (Å): 3.7809 3.7809 10.4678
angles (deg): 79.60 79.60 90.00
With the nearest neighbours (Å) after each atom.
Element x y z (fractional)
Ni 0.0000 0.0000 0.0000  8 K 3.41, 4 Ni 3.78
As 0.7500 0.2500 0.5000  4 As 2.67
As 0.2500 0.7500 0.5000  4 As 2.67
K 0.3954 0.3954 0.2091  4 Ni 3.41, 4 As 3.50, 4 K 3.78
K 0.6046 0.6046 0.7909  4 Ni 3.41, 4 As 3.50, 4 K 3.78

E above lowest polymorph, meV/atom: 761
Total magnetization, Bohr magnetons per cell: 0.8
Space group: I4/mmm, No. 139
Uncorrected energy, eV/cell: -15.61
Theoretical density, Mg/m³: 3.29

***

4.
A relaxed K2NpNiAs2 crystal, computed with GGA-PBE.

a b c (Å): 4.2608 6.8428 12.9967
angles (deg): 90.00 90.00 90.00
With the nearest neighbours (Å) after each atom.
Element x y z (fractional)
K 0.5000 0.8331 0.1302  2 As 3.24, 1 Ni 3.60
K 0.0000 0.3318 0.2246  3 As 3.29-3.34
K 0.5000 0.3331 0.8698  2 As 3.24, 1 Ni 3.60
K 0.0000 0.8318 0.7754  3 As 3.29-3.34
Np 0.0000 0.0566 0.4784  6 As 2.83-3.08, 2 Ni 2.85
Np 0.0000 0.5566 0.5216  6 As 2.83-3.08, 2 Ni 2.85
Ni 0.5000 0.2055 0.6007  4 As 2.44-2.53
Ni 0.5000 0.7055 0.3993  4 As 2.44-2.53
As 0.0000 0.2803 0.6837  2 Ni 2.44
As 0.5000 0.3382 0.4227  2 Ni 2.49-2.53
As 0.0000 0.7803 0.3163  2 Ni 2.44
As 0.5000 0.8382 0.5773  2 Ni 2.49-2.53

Total magnetization, Bohr magnetons per cell: 6.1
Space group: Pmc2_1, No. 26
Uncorrected energy, eV/cell: -65.07
Theoretical density, Mg/m³: 4.59

***

- Number 2 is which compound?
  K4NiAs

***

- Which formula does entry 1 have?
  KNiAs

***

- Which of these has the lowest total magnetization?
  KNiAs

***

- What is the formula in the first record?
  KNiAs